Record 1
A plane-wave DFT calculation with PBE was carried out for a relaxed structure of Al2PbAu4.

a = 4.6344 Å, b = 4.6359 Å, c = 13.9174 Å
α = 89.56°, β = 89.55°, γ = 103.33°
Sites, in units of the cell vectors:
Pb 0.5033 0.4964 0.2499
Pb 0.4967 0.5036 0.7501
Au 0.2202 0.9042 0.9127
Au 0.0957 0.7798 0.5873
Au 0.7798 0.0958 0.0873
Au 0.9043 0.2202 0.4127
Au 0.0782 0.9216 0.2500
Au 0.9218 0.0784 0.7500
Au 0.5000 0.5000 0.0000
Au 0.5000 0.5000 0.5000
Al 0.6683 0.0618 0.5869
Al 0.0616 0.6684 0.0869
Al 0.9384 0.3316 0.9131
Al 0.3317 0.9382 0.4131

Calculated values
E, eV per atom: -3.66


Record 2
A plane-wave DFT calculation with PBE was carried out for a relaxed structure of AlPb2Au.

a = 8.8861 Å, b = 8.8861 Å, c = 8.8861 Å
α = 24.05°, β = 24.05°, γ = 24.05°
Sites, in units of the cell vectors:
Pb 0.9892 0.9892 0.9892
Pb 0.7591 0.7591 0.7591
Au 0.2365 0.2365 0.2365
Al 0.5152 0.5152 0.5152

Calculated values
E, eV per atom: -3.64